The following is a PBE calculation of a relaxed structure of LaTlIr2, from Alexandria.

Calculated values
DOS at the Fermi energy	2.0	states/eV per cell
final energy	-24.67	eV per cell
polymorph energy (0 for the lowest one)	296.5	meV/atom
total magnetic moment	0.00	μB/f.u.

Lattice parameters (Å, degrees): 3.2775 4.4862 5.7215 90.00 90.00 90.00
Sites, in units of the cell vectors:
Ir  0.0000  0.0000  0.9650
Ir  0.5000  0.5000  0.2787
La  0.0000  0.0000  0.4585
Tl  0.5000  0.5000  0.7978

***

The following is a PBE calculation of a relaxed structure of La3TlIr, from Alexandria.

Calculated values
DOS at the Fermi energy	21.1	states/eV per cell
final energy	-48.57	eV per cell
polymorph energy (0 for the lowest one)	885.8	meV/atom
total magnetic moment	0.00	μB/f.u.

Lattice parameters (Å, degrees): 5.9147 5.9147 12.3798 76.18 76.18 90.00
Sites, in units of the cell vectors:
Tl  0.0000  0.0000  0.0000
Tl  0.2500  0.7500  0.5000
Ir  0.6952  0.1952  0.6095
Ir  0.8048  0.3048  0.3905
La  0.6346  0.8703  0.2594
La  0.1297  0.3654  0.7406
La  0.1297  0.8940  0.7406
La  0.1060  0.8703  0.2594
La  0.2914  0.2914  0.4172
La  0.7086  0.7086  0.5828

***

The following is a PBE calculation of a relaxed structure of La3TlIr, from Alexandria.

Calculated values
DOS at the Fermi energy	20.6	states/eV per cell
final energy	-110.54	eV per cell
polymorph energy (0 for the lowest one)	215.4	meV/atom
total magnetic moment	0.00	μB/f.u.

Lattice parameters (Å, degrees): 10.3170 10.3170 10.3170 60.00 60.00 60.00
Sites, in units of the cell vectors:
Tl  0.6250  0.6250  0.6250
Tl  0.6250  0.1250  0.6250
Tl  0.1250  0.6250  0.6250
Tl  0.6250  0.6250  0.1250
Ir  0.1250  0.1250  0.1250
Ir  0.1250  0.6250  0.1250
Ir  0.6250  0.1250  0.1250
Ir  0.1250  0.1250  0.6250
La  0.7908  0.2092  0.2092
La  0.0408  0.4592  0.4592
La  0.4592  0.4592  0.0408
La  0.4592  0.0408  0.0408
La  0.0408  0.4592  0.0408
La  0.7908  0.2092  0.7908
La  0.4592  0.0408  0.4592
La  0.0408  0.0408  0.4592
La  0.2092  0.7908  0.2092
La  0.2092  0.7908  0.7908
La  0.2092  0.2092  0.7908
La  0.7908  0.7908  0.2092

***

The following is a PBE calculation of a relaxed structure of LaTlIr2, from Alexandria.

Calculated values
DOS at the Fermi energy	3.1	states/eV per cell
final energy	-25.08	eV per cell
polymorph energy (0 for the lowest one)	193.7	meV/atom
total magnetic moment	0.00	μB/f.u.

Lattice parameters (Å, degrees): 5.7588 5.7588 5.0602 73.51 73.51 31.08
Sites, in units of the cell vectors:
Ir  0.0213  0.0213  0.0286
Ir  0.7162  0.7162  0.7306
La  0.4853  0.4853  0.5470
Tl  0.2772  0.2772  0.1938

***

The following is a PBE calculation of a relaxed structure of La3TlIr, from Alexandria.

Calculated values
DOS at the Fermi energy	10.5	states/eV per cell
final energy	-52.27	eV per cell
polymorph energy (0 for the lowest one)	515.9	meV/atom
total magnetic moment	0.00	μB/f.u.

Lattice parameters (Å, degrees): 6.2976 6.2976 10.4489 72.46 72.46 90.00
Sites, in units of the cell vectors:
Tl  0.6435  0.1435  0.7131
Tl  0.8565  0.3565  0.2869
Ir  0.0000  0.0000  0.0000
Ir  0.2500  0.7500  0.5000
La  0.1379  0.8864  0.2273
La  0.1136  0.8621  0.7727
La  0.1136  0.3652  0.7727
La  0.6348  0.8864  0.2273
La  0.2761  0.2761  0.4479
La  0.7239  0.7239  0.5521

***

The following is a PBE calculation of a relaxed structure of La2TlIr, from Alexandria.

Calculated values
DOS at the Fermi energy	2.0	states/eV per cell
final energy	-22.86	eV per cell
polymorph energy (0 for the lowest one)	161.5	meV/atom
total magnetic moment	0.00	μB/f.u.

Lattice parameters (Å, degrees): 5.7534 5.7534 5.7534 135.54 120.07 77.60
Sites, in units of the cell vectors:
Ir  0.7500  0.2500  0.5000
La  0.9546  0.9546  0.0000
La  0.5454  0.5454  0.0000
Tl  0.2500  0.7500  0.5000

***

The following is a PBE calculation of a relaxed structure of La3TlIr, from Alexandria.

Calculated values
DOS at the Fermi energy	19.4	states/eV per cell
final energy	-54.80	eV per cell
polymorph energy (0 for the lowest one)	262.9	meV/atom
total magnetic moment	0.00	μB/f.u.

Lattice parameters (Å, degrees): 5.1237 5.1237 16.5417 90.00 90.00 120.00
Sites, in units of the cell vectors:
Tl  0.0000  0.0000  0.0000
Tl  0.0000  0.0000  0.5000
Ir  0.3333  0.6667  0.7500
Ir  0.6667  0.3333  0.2500
La  0.0000  0.0000  0.2500
La  0.0000  0.0000  0.7500
La  0.3333  0.6667  0.9140
La  0.3333  0.6667  0.5860
La  0.6667  0.3333  0.4140
La  0.6667  0.3333  0.0860

***

The following is a PBE calculation of a relaxed structure of La3TlIr, from Alexandria.

Calculated values
DOS at the Fermi energy	20.8	states/eV per cell
final energy	-110.53	eV per cell
polymorph energy (0 for the lowest one)	216.0	meV/atom
total magnetic moment	0.00	μB/f.u.

Lattice parameters (Å, degrees): 7.8301 9.4197 8.7394 90.00 90.00 90.00
Sites, in units of the cell vectors:
Tl  0.0000  0.0000  0.5000
Tl  0.5000  0.5000  0.0000
Tl  0.5000  0.0000  0.0000
Tl  0.0000  0.5000  0.5000
Ir  0.6058  0.2500  0.5099
Ir  0.8942  0.7500  0.0099
Ir  0.3942  0.7500  0.4901
Ir  0.1058  0.2500  0.9901
La  0.1253  0.9330  0.8468
La  0.3747  0.4330  0.3468
La  0.3747  0.0670  0.3468
La  0.8747  0.4330  0.1532
La  0.8747  0.0670  0.1532
La  0.6253  0.5670  0.6532
La  0.6253  0.9330  0.6532
La  0.1253  0.5670  0.8468
La  0.3480  0.2500  0.7549
La  0.1520  0.7500  0.2549
La  0.6520  0.7500  0.2451
La  0.8480  0.2500  0.7451

***

The following is a PBE calculation of a relaxed structure of La5TlIr, from Alexandria.

Calculated values
DOS at the Fermi energy	16.0	states/eV per cell
final energy	-76.15	eV per cell
polymorph energy (0 for the lowest one)	34.9	meV/atom
total magnetic moment	0.00	μB/f.u.

Lattice parameters (Å, degrees): 6.4631 6.4631 12.0468 76.15 76.15 72.49
Sites, in units of the cell vectors:
La  0.9607  0.5745  0.1352
La  0.2086  0.5546  0.5517
La  0.5745  0.9607  0.6352
La  0.0163  0.9837  0.2500
La  0.4454  0.7914  0.9483
La  0.5546  0.2086  0.0517
La  0.9837  0.0163  0.7500
La  0.4255  0.0393  0.3648
La  0.7914  0.4454  0.4483
La  0.0393  0.4255  0.8648
Tl  0.4459  0.5541  0.2500
Tl  0.5541  0.4459  0.7500
Ir  0.0000  0.0000  0.0000
Ir  0.0000  0.0000  0.5000

***

The following is a PBE calculation of a relaxed structure of LaTlIr2, from Alexandria.

Calculated values
DOS at the Fermi energy	2.9	states/eV per cell
final energy	-25.11	eV per cell
polymorph energy (0 for the lowest one)	185.9	meV/atom
total magnetic moment	0.00	μB/f.u.

Lattice parameters (Å, degrees): 5.6678 5.6678 5.6678 137.55 137.38 61.72
Sites, in units of the cell vectors:
Ir  0.9998  0.9998  0.0000
Ir  0.7508  0.2508  0.5000
La  0.5000  0.5000  0.0000
Tl  0.2495  0.7495  0.5000

***

The following is a PBE calculation of a relaxed structure of LaTlIr, from Alexandria.

Calculated values
DOS at the Fermi energy	1.5	states/eV per cell
final energy	-17.30	eV per cell
total magnetic moment	0.00	μB/f.u.

Lattice parameters (Å, degrees): 4.8605 4.8605 4.8605 60.00 60.00 60.00
Sites, in units of the cell vectors:
Ir  0.7500  0.7500  0.7500
La  0.0000  0.0000  0.0000
Tl  0.5000  0.5000  0.5000

***

Number 1: energy of formation from the pure elements 0.0861 eV per atom. Number 2: energy of formation from the pure elements 0.3453 eV per atom. Number 3: energy of formation from the pure elements -0.3251 eV per atom. Number 4: energy of formation from the pure elements -0.0167 eV per atom. Number 5: energy of formation from the pure elements -0.0246 eV per atom. Number 6: energy of formation from the pure elements -0.4446 eV per atom. Number 7: energy of formation from the pure elements -0.2776 eV per atom. Number 8: energy of formation from the pure elements -0.3245 eV per atom. Number 9: energy of formation from the pure elements -0.3161 eV per atom. Number 10: energy of formation from the pure elements -0.0245 eV per atom. Number 11: energy of formation from the pure elements -0.3824 eV per atom.